Record 1
DFT (PBE) results for a geometry-optimized UFe4Ni structure.

abc: 4.8696 4.8696 4.8696
angles: 60.00 60.00 60.00
Sites, in units of the cell vectors:
1 Ni 0.0000 0.0000 0.0000
2 U 0.2500 0.2500 0.2500
3 Fe 0.6263 0.6263 0.1210
4 Fe 0.6263 0.1210 0.6263
5 Fe 0.6263 0.6263 0.6263
6 Fe 0.1210 0.6263 0.6263

SG: F-43m (216)
final energy: -50.53 eV/cell
calculated formation energy: 0.0654 eV/atom


Record 2
DFT (PBE) results for a geometry-optimized AlVPtRh structure.

abc: 4.3440 4.3440 4.3440
angles: 60.00 60.00 60.00
Sites, in units of the cell vectors:
1 Rh 0.2500 0.2500 0.2500
2 Al 0.0000 0.0000 0.0000
3 Pt 0.7500 0.7500 0.7500
4 V 0.5000 0.5000 0.5000

SG: F-43m (216)
final energy: -28.72 eV/cell
calculated formation energy: -0.6170 eV/atom


Record 3
DFT (PBE) results for a geometry-optimized Cd4Ag5Au2 structure.

abc: 4.1866 10.8753 5.2154
angles: 75.04 113.66 90.00
Sites, in units of the cell vectors:
1 Cd 0.3161 0.2781 0.6322
2 Cd 0.9490 0.8223 0.8981
3 Cd 0.6839 0.7219 0.3678
4 Cd 0.0510 0.1777 0.1019
5 Ag 0.8640 0.4555 0.7281
6 Ag 0.1360 0.5445 0.2719
7 Ag 0.7761 0.0909 0.5521
8 Ag 0.5000 0.0000 0.0000
9 Ag 0.2239 0.9091 0.4479
10 Au 0.5892 0.3639 0.1785
11 Au 0.4108 0.6361 0.8215

SG: C2/m (12)
final energy: -25.33 eV/cell
calculated formation energy: -0.0779 eV/atom
E above lowest polymorph: 0.000 eV/atom


Record 4
DFT (PBE) results for a geometry-optimized Sc3CdN structure.

abc: 4.1688 4.1688 8.1415
angles: 90.00 90.00 90.00
Sites, in units of the cell vectors:
1 Sc 0.0000 0.0000 0.7813
2 Sc 0.5000 0.0000 0.4562
3 Sc 0.0000 0.5000 0.4562
4 N 0.5000 0.5000 0.4137
5 Cd 0.0000 0.0000 0.1562

SG: P4mm (99)
final energy: -28.42 eV/cell
E_form (uncorrected): -37 meV/atom


Record 5
DFT (PBE) results for a geometry-optimized Cu2MoPb structure.

abc: 4.1745 2.9294 5.5679
angles: 78.15 90.00 90.00
Sites, in units of the cell vectors:
1 Cu 0.0000 0.1501 0.0226
2 Cu 0.5000 0.0617 0.2610
3 Mo 0.0000 0.4806 0.4506
4 Pb 0.5000 0.8076 0.7658

SG: Pm (6)
final energy: -20.53 eV/cell
calculated formation energy: 0.5509 eV/atom


Record 6
DFT (PBE) results for a geometry-optimized BaGe2O2 structure.

abc: 7.1547 7.1547 3.6746
angles: 90.00 90.00 90.00
Sites, in units of the cell vectors:
1 Ge 0.1132 0.6132 0.5000
2 Ge 0.6132 0.8868 0.5000
3 Ge 0.8868 0.3868 0.5000
4 Ge 0.3868 0.1132 0.5000
5 Ba 0.0000 0.0000 0.0000
6 Ba 0.5000 0.5000 0.0000
7 O 0.3651 0.8651 0.0000
8 O 0.8651 0.6349 0.0000
9 O 0.6349 0.1349 0.0000
10 O 0.1349 0.3651 0.0000

SG: P4/mbm (127)
final energy: -47.27 eV/cell
E_form (uncorrected): -512 meV/atom
E above lowest polymorph: 0.328 eV/atom


no.,calculated density (g/cm3)
1,10.58
2,10.77
3,11.00
4,3.07
5,10.72
6,5.55